Ba3Fe2BiO8, optimized geometry, DFT GGA+U; magnetic moment = 9.0 μB/f.u.; electronic total energy = -87.47 eV/cell; V = 244.0 Å³ per cell
1.0
-1.6448 -0.0937 5.8386
-0.8479 -4.9039 -3.4693
6.9556 -2.5597 1.9183
Ba Fe Bi O
3 2 1 8
direct
0.3333 0.6667 0.6588 Ba
0.6667 0.3333 0.3412 Ba
0.0000 0.0000 0.0000 Ba
0.3333 0.6667 0.2119 Fe
0.6667 0.3333 0.7881 Fe
0.0000 0.0000 0.5000 Bi
0.3333 0.6667 0.9772 O
0.6667 0.3333 0.0228 O
0.1688 0.8312 0.3168 O
0.8312 0.1688 0.6832 O
0.1688 0.3376 0.3168 O
0.8312 0.6624 0.6832 O
0.6624 0.8312 0.3168 O
0.3376 0.1688 0.6832 O